The following is a GGA+U calculation of crystalline ErMnIO6 at its relaxed geometry, from Alexandria via LeMat-Bulk.

The value obtained for the mass density is 6.2 g cm⁻³. The total energy is -6.32 eV per atom. The size of the total moment is 0.55 μB per atom.

It has space group P-31c (No. 163), with a = 5.5044 Å, b = 5.5044 Å, c = 9.0357 Å, α = 90.00°, β = 90.00° and γ = 120.00°. The asymmetric unit holds Er at (0.3333, 0.6667, 0.2500), Mn at (0.0000, 0.0000, 0.0000), I at (0.3333, 0.6667, 0.7500) and O at (0.0463, 0.3770, 0.6318).